The following is a PBE calculation of crystalline PtAu2S at its relaxed geometry, from Alexandria.

a b c (Å): 5.850 5.850 5.850
angles (deg): 101.83 101.83 126.16
Sites, in units of the cell vectors:
Pt 0.000 0.000 0.000
Pt 0.750 0.250 0.500
Au 0.145 0.625 0.020
Au 0.375 0.395 0.520
Au 0.605 0.125 0.980
Au 0.875 0.855 0.480
S 0.250 0.750 0.500
S 0.500 0.500 0.000

Summary:
E, eV/atom: -3.86
M_tot, μB/f.u.: 0.0
Fermi-level density of states, states/eV per atom: 0.396
Formation energy from raw total energies, eV per atom: 0.319
Symmetry: I-42d, No. 122

The following is a PBE calculation of crystalline BaAs7 at its relaxed geometry, from Alexandria.

a b c (Å): 6.305 6.305 6.305
angles (deg): 60.00 60.00 60.00
Sites, in units of the cell vectors:
Ba 0.000 0.000 0.000
As 0.000 0.000 0.500
As 0.000 0.500 0.000
As 0.000 0.500 0.500
As 0.500 0.000 0.000
As 0.500 0.000 0.500
As 0.500 0.500 0.000
As 0.500 0.500 0.500

Summary:
E, eV/atom: -4.06
M_tot, μB/f.u.: 0.0
Fermi-level density of states, states/eV per atom: 0.453
Symmetry: Fm-3m, No. 225
Energy of formation, meV/atom: 252

The following is a PBE calculation of crystalline AcErAlSn at its relaxed geometry, from Alexandria.

a b c (Å): 5.468 5.468 5.468
angles (deg): 60.00 60.00 60.00
Sites, in units of the cell vectors:
Ac 0.000 0.000 0.000
Er 0.500 0.500 0.500
Al 0.750 0.750 0.750
Sn 0.250 0.250 0.250

Summary:
E, eV/atom: -4.47
M_tot, μB/f.u.: 0.0
Fermi-level density of states, states/eV per atom: 0.945
Symmetry: F-43m, No. 216
Energy of formation, meV/atom: -364